(1)
Here is a relaxed DyY2Th crystal from the Alexandria database. Energies are from PBE.

abc: 5.685 5.685 5.685
angles: 60.00 60.00 60.00
Positions (direct):
Dy: 0.000 0.000 0.000
Y: 0.250 0.250 0.250
Y: 0.750 0.750 0.750
Th: 0.500 0.500 0.500

Calculated volume, Å³ per cell: 129.9
Formation enthalpy at 0 K, meV per atom: 147.2
Calculated total energy, eV per atom: -6.09
Total magnetic moment, μB/f.u.: 0.0
D(E_F), states/eV per cell: 8.40

(2)
Here is a relaxed Ac6Ni3Br crystal from the Alexandria database. Energies are from PBE.

abc: 4.199 12.161 14.948
angles: 115.75 90.00 90.00
Positions (direct):
Ni: 0.750 0.011 0.869
Ni: 0.250 0.989 0.131
Ni: 0.750 0.778 0.275
Ni: 0.250 0.222 0.725
Ni: 0.250 0.601 0.434
Ni: 0.750 0.399 0.566
Ac: 0.750 0.161 0.575
Ac: 0.250 0.462 0.721
Ac: 0.750 0.138 0.090
Ac: 0.750 0.270 0.874
Ac: 0.250 0.976 0.716
Ac: 0.750 0.652 0.587
Ac: 0.750 0.024 0.284
Ac: 0.250 0.730 0.126
Ac: 0.250 0.348 0.413
Ac: 0.250 0.862 0.910
Ac: 0.750 0.538 0.279
Ac: 0.250 0.839 0.425
Br: 0.750 0.585 0.927
Br: 0.250 0.415 0.073

Calculated volume, Å³ per cell: 687.5
Uncorrected formation energy, meV per atom: -376
Calculated total energy, eV per atom: -4.74
Total magnetic moment, μB/f.u.: 0.0
D(E_F), states/eV per cell: 19.06

(3)
Here is a relaxed Sm2Dy4Tl3H2 crystal from the Alexandria database. Energies are from PBE.

abc: 4.779 4.779 12.761
angles: 100.79 100.79 90.00
Positions (direct):
Sm: 0.303 0.303 0.606
Sm: 0.697 0.697 0.394
H: 0.600 0.600 0.199
H: 0.400 0.400 0.801
Dy: 0.083 0.583 0.166
Dy: 0.417 0.917 0.834
Dy: 0.583 0.083 0.166
Dy: 0.917 0.417 0.834
Tl: 0.828 0.828 0.656
Tl: 0.172 0.172 0.344
Tl: 0.000 0.000 0.000

Calculated volume, Å³ per cell: 281.0
Calculated total energy, eV per atom: -4.08
Total magnetic moment, μB/f.u.: 0.0
D(E_F), states/eV per cell: 8.53

(4)
Here is a relaxed KU2AgSe4 crystal from the Alexandria database. Energies are from PBE.

abc: 4.226 7.356 14.818
angles: 90.00 90.00 106.69
Positions (direct):
Se: 0.732 0.464 0.895
Se: 0.000 0.000 0.000
Se: 0.268 0.536 0.395
Se: 0.268 0.536 0.105
Se: 0.448 0.895 0.750
Se: 0.000 0.000 0.500
Se: 0.552 0.105 0.250
Se: 0.732 0.464 0.605
Ag: 0.840 0.679 0.750
Ag: 0.160 0.321 0.250
K: 0.119 0.238 0.750
K: 0.881 0.762 0.250
U: 0.370 0.740 0.936
U: 0.630 0.260 0.064
U: 0.630 0.260 0.436
U: 0.370 0.740 0.564

Calculated volume, Å³ per cell: 441.3
Uncorrected formation energy, meV per atom: -974
Calculated total energy, eV per atom: -6.03
Total magnetic moment, μB/f.u.: 6.0
D(E_F), states/eV per cell: 22.53

(5)
Here is a relaxed Rb2VFeCo crystal from the Alexandria database. Energies are from PBE.

abc: 6.767 3.975 6.767
angles: 90.00 90.00 90.00
Positions (direct):
Rb: 0.000 0.000 0.500
Rb: 0.500 0.000 0.000
Fe: 0.000 0.500 0.000
Co: 0.500 0.500 0.500
V: 0.000 0.000 0.000

Calculated volume, Å³ per cell: 182.0
Formation enthalpy at 0 K, meV per atom: 1767.4
Calculated total energy, eV per atom: -3.56
Total magnetic moment, μB/f.u.: 2.2
D(E_F), states/eV per cell: 12.19

(6)
Here is a relaxed PaFeN crystal from the Alexandria database. Energies are from PBE.

abc: 4.119 4.011 5.780
angles: 90.00 93.52 90.00
Positions (direct):
Fe: 0.389 0.250 0.431
Fe: 0.611 0.750 0.569
N: 0.856 0.750 0.859
N: 0.144 0.250 0.141
Pa: 0.125 0.250 0.760
Pa: 0.875 0.750 0.240

Calculated volume, Å³ per cell: 95.3
Uncorrected formation energy, meV per atom: -789
Calculated total energy, eV per atom: -9.55
Total magnetic moment, μB/f.u.: 0.0
D(E_F), states/eV per cell: 0.06

(7)
Here is a relaxed Rb2ZrTe8 crystal from the Alexandria database. Energies are from PBE.

abc: 7.254 8.013 11.461
angles: 69.51 52.91 89.94
Positions (direct):
Te: 0.498 0.934 0.131
Te: 0.164 0.363 0.737
Te: 0.836 0.637 0.263
Te: 0.835 0.101 0.263
Te: 0.154 0.447 0.104
Te: 0.846 0.553 0.896
Te: 0.165 0.899 0.737
Te: 0.502 0.066 0.869
Rb: 0.321 0.317 0.366
Rb: 0.679 0.683 0.634
Zr: 0.000 0.000 0.000

Calculated volume, Å³ per cell: 477.7
Uncorrected formation energy, meV per atom: -454
Calculated total energy, eV per atom: -3.69
Total magnetic moment, μB/f.u.: 0.0
D(E_F), states/eV per cell: 6.53

(8)
Here is a relaxed Cs2NpAu2S6 crystal from the Alexandria database. Energies are from PBE.

abc: 7.496 7.496 8.202
angles: 62.81 62.81 60.00
Positions (direct):
Cs: 0.228 0.228 0.317
Cs: 0.772 0.772 0.683
S: 0.228 0.228 0.772
S: 0.771 0.228 0.772
S: 0.229 0.772 0.228
S: 0.772 0.772 0.228
S: 0.772 0.229 0.228
S: 0.228 0.771 0.772
Au: 0.406 0.406 0.781
Au: 0.594 0.594 0.219
Np: 0.000 0.000 0.000

Calculated volume, Å³ per cell: 339.0
Uncorrected formation energy, meV per atom: -654
Calculated total energy, eV per atom: -4.83
Total magnetic moment, μB/f.u.: 0.5
D(E_F), states/eV per cell: 8.88

(9)
Here is a relaxed Ho4Mg3Ag crystal from the Alexandria database. Energies are from PBE.

abc: 3.398 5.026 12.344
angles: 90.00 90.00 90.00
Positions (direct):
Mg: 0.000 0.000 0.432
Mg: 0.500 0.000 0.939
Mg: 0.000 0.500 0.566
Ho: 0.500 0.000 0.676
Ho: 0.000 0.000 0.162
Ho: 0.500 0.500 0.320
Ho: 0.000 0.500 0.840
Ag: 0.500 0.500 0.066

Calculated volume, Å³ per cell: 210.8
Formation enthalpy at 0 K, meV per atom: -65.7
Calculated total energy, eV per atom: -3.31
Total magnetic moment, μB/f.u.: 0.0
D(E_F), states/eV per cell: 8.67

(10)
Here is a relaxed Ho3Mg2Tl4 crystal from the Alexandria database. Energies are from PBE.

abc: 4.930 6.259 9.393
angles: 116.34 90.00 113.19
Positions (direct):
Tl: 0.052 0.103 0.375
Tl: 0.948 0.897 0.625
Tl: 0.691 0.382 0.045
Tl: 0.309 0.618 0.955
Ho: 0.650 0.300 0.681
Ho: 0.350 0.700 0.319
Ho: 0.000 0.000 0.000
Mg: 0.351 0.702 0.677
Mg: 0.649 0.298 0.323

Calculated volume, Å³ per cell: 233.3
Formation enthalpy at 0 K, meV per atom: -233.1
Calculated total energy, eV per atom: -3.17
Total magnetic moment, μB/f.u.: 0.0
D(E_F), states/eV per cell: 5.53